[1]
Material: Mn3BePd12
Method: DFT, PBE-GGA
State: relaxed

Cell and atoms, written as POSCAR:
```
Mn3BePd12
1.0
-1.622 0.808 -3.470
2.474 -2.488 -1.736
-10.120 -11.495 2.051
Pd Mn Be
12 3 1
Cartesian
-9.735 -9.733 0.074
0.426 -0.840 -2.603
-2.006 -0.953 -1.493
-7.687 -11.381 0.941
-2.058 -3.661 -2.099
-5.112 -8.456 0.419
-4.582 -3.879 -0.970
-2.534 -5.527 -0.103
-7.210 -9.513 -1.055
-4.634 -6.587 -1.577
0.042 -2.601 -0.626
-7.160 -6.808 -0.448
-7.637 -8.675 1.548
-5.060 -5.748 1.026
-2.483 -2.820 0.503
0.000 0.000 0.000
```

Computed properties:
Magnetic moment ... 13.00 Bohr magnetons per cell
ΔE_f ... -0.204 eV/atom
DOS(E_F) ... 18.57 states/eV/f.u.

***

[2]
Material: CoReBr2
Method: DFT, PBE-GGA
State: relaxed

Cell and atoms, written as POSCAR:
```
CoReBr2
1.0
5.672 0.000 0.000
0.000 5.672 0.000
2.836 2.836 5.250
Br Re Co
4 2 2
Cartesian
4.161 1.418 1.312
7.090 6.997 3.937
4.254 4.347 3.937
1.511 4.254 1.312
5.672 2.836 2.625
0.000 0.000 0.000
2.836 2.836 0.000
2.836 5.672 2.625
```

Computed properties:
Magnetic moment ... 3.83 Bohr magnetons per cell
Polymorph energy (0 for the lowest one) ... 0.9010 eV per atom
DOS(E_F) ... 4.47 states/eV/f.u.
Formation energy (no corrections) ... 1209 meV/atom

***

[3]
Material: ZnCu
Method: DFT, PBE-GGA
State: relaxed

Cell and atoms, written as POSCAR:
```
ZnCu
1.0
2.689 0.000 0.000
-1.344 2.328 0.000
0.000 0.000 4.184
Cu Zn
1 1
Cartesian
0.000 0.000 0.000
0.000 1.552 2.092
```

Computed properties:
Magnetic moment ... 0.00 Bohr magnetons per cell
ΔE_f ... -0.049 eV/atom
DOS(E_F) ... 0.77 states/eV/f.u.

***

[4]
Material: PmDy8Sc2
Method: DFT, PBE-GGA
State: relaxed

Cell and atoms, written as POSCAR:
```
PmDy8Sc2
1.0
-0.374 1.522 -5.200
-3.614 -9.199 -1.939
-8.740 -4.994 -0.339
Dy Sc Pm
8 2 1
Cartesian
-6.873 -7.434 -2.481
-5.786 -3.757 -1.850
-10.265 -10.297 -5.825
-2.463 -2.374 -1.653
-9.344 -6.943 -4.879
-6.942 -8.913 -5.628
-3.384 -5.728 -2.599
-5.855 -5.237 -4.997
-3.805 -2.908 -4.550
-8.923 -9.763 -2.928
0.000 0.000 0.000
```

Computed properties:
Magnetic moment ... 0.00 Bohr magnetons per cell
Polymorph energy (0 for the lowest one) ... 0.1057 eV per atom
ΔE_f ... 0.144 eV/atom
DOS(E_F) ... 17.45 states/eV/f.u.

***

[5]
Material: Cs4UO4
Method: DFT, PBE-GGA
State: relaxed

Cell and atoms, written as POSCAR:
```
Cs4UO4
1.0
-5.267 -2.177 -8.256
5.720 -4.675 3.547
-0.994 -9.555 2.891
Cs O U
4 4 1
Cartesian
-3.167 -4.542 -5.534
0.147 -4.169 -2.816
-1.357 -7.667 -0.813
-2.271 -8.701 -4.888
3.769 -13.284 5.488
-4.602 -10.366 -5.097
-0.037 -1.812 -1.185
0.435 -7.529 -3.207
-0.349 -9.732 2.527
```

Computed properties:
Magnetic moment ... 0.25 Bohr magnetons per cell
DOS(E_F) ... 4.18 states/eV/f.u.
Formation energy (no corrections) ... -1819 meV/atom

***

[6]
Material: NdHgTe2
Method: DFT, PBE-GGA
State: relaxed

Cell and atoms, written as POSCAR:
```
NdHgTe2
1.0
4.622 0.000 0.000
2.311 4.003 0.000
0.001 -0.001 27.872
Hg Te Nd
3 6 3
Cartesian
1.534 2.656 0.000
3.845 1.346 9.291
1.556 0.000 18.582
6.144 2.670 2.922
3.833 1.333 6.368
1.552 2.652 24.950
3.862 3.985 21.504
1.550 0.017 15.659
3.863 1.350 12.213
3.863 1.317 23.227
1.551 2.686 13.936
1.521 0.000 4.645
```

Computed properties:
Magnetic moment ... 0.00 Bohr magnetons per cell
Polymorph energy (0 for the lowest one) ... 0.0029 eV per atom
DOS(E_F) ... 2.75 states/eV/f.u.
Formation energy (no corrections) ... -771 meV/atom

***

no.,total DFT energy (no corrections) (eV for the cell shown)
1,-96.81
2,-36.13
3,-5.47
4,-52.65
5,-50.90
6,-43.31